RbCr2TcGe | GGA-PBEsol | relaxed

Cell lengths 4.690, 4.690, 5.208 Å; angles 90.00, 90.00, 90.00 degrees
Sites, in units of the cell vectors:
1 Rb 0.000 0.000 0.000
2 Cr 0.000 0.500 0.000
3 Cr 0.500 0.000 0.000
4 Tc 0.500 0.500 0.500
5 Ge 0.000 0.000 0.500

Properties
ΔH_f (0 K) in eV per atom: 3.064
Calculated total energy in eV/atom: -4.479
N(E_F) in states/eV/cell: 4.5
Calculated volume in Å³/atom: 22.9
Crystal system: tetragonal
Magnetization in μB/f.u.: 10.87